(1)
The following is a PBE-GGA calculation of a relaxed structure of Ta2CoW, from Alexandria.

Unit cell a=6.325 b=6.325 c=6.325 alpha=90.00 beta=90.00 gamma=90.00
Sites, in units of the cell vectors:
Ta 0.250 0.250 0.250
Ta 0.250 0.250 0.750
Ta 0.250 0.750 0.250
Ta 0.250 0.750 0.750
Ta 0.750 0.250 0.250
Ta 0.750 0.250 0.750
Ta 0.750 0.750 0.250
Ta 0.750 0.750 0.750
Co 0.000 0.000 0.000
Co 0.000 0.500 0.500
Co 0.500 0.000 0.500
Co 0.500 0.500 0.000
W 0.000 0.000 0.500
W 0.000 0.500 0.000
W 0.500 0.000 0.000
W 0.500 0.500 0.500

Properties
ΔE to the lowest computed polymorph: 2.0 kJ per mole of atoms
ΔH_f (0 K): -0.07 eV/atom
electronic total energy: -44.031 eV per formula unit
size of the total moment: 0.00 μB per formula unit



(2)
The following is a PBE-GGA calculation of a relaxed structure of Ca2BeAu5, from Alexandria.

Unit cell a=6.192 b=6.192 c=9.227 alpha=90.00 beta=90.00 gamma=90.00
Sites, in units of the cell vectors:
Ca 0.000 0.500 0.000
Ca 0.000 0.500 0.500
Ca 0.500 0.000 0.000
Ca 0.500 0.000 0.500
Be 0.000 0.000 0.301
Be 0.500 0.500 0.801
Au 0.000 0.000 0.547
Au 0.242 0.242 0.754
Au 0.242 0.758 0.754
Au 0.258 0.258 0.254
Au 0.258 0.742 0.254
Au 0.500 0.500 0.047
Au 0.742 0.258 0.254
Au 0.742 0.742 0.254
Au 0.758 0.242 0.754
Au 0.758 0.758 0.754

Properties
ΔH_f (0 K): -0.53 eV/atom
electronic total energy: -28.319 eV per formula unit
size of the total moment: 0.00 μB per formula unit



(3)
The following is a PBE-GGA calculation of a relaxed structure of SrYB, from Alexandria.

Unit cell a=6.723 b=6.723 c=6.723 alpha=90.00 beta=90.00 gamma=90.00
Sites, in units of the cell vectors:
Sr 0.000 0.000 0.000
Sr 0.000 0.500 0.500
Sr 0.500 0.000 0.500
Sr 0.500 0.500 0.000
Y 0.000 0.000 0.500
Y 0.000 0.500 0.000
Y 0.500 0.000 0.000
Y 0.500 0.500 0.500
B 0.250 0.250 0.750
B 0.250 0.750 0.250
B 0.750 0.250 0.250
B 0.750 0.750 0.750

Properties
ΔE to the lowest computed polymorph: 44.9 kJ per mole of atoms
ΔH_f (0 K): 0.45 eV/atom
electronic total energy: -13.474 eV per formula unit
size of the total moment: 0.00 μB per formula unit



(4)
The following is a PBE-GGA calculation of a relaxed structure of NdH6Rh3, from Alexandria.

Unit cell a=4.928 b=4.928 c=5.040 alpha=119.20 beta=119.20 gamma=89.92
Sites, in units of the cell vectors:
Nd 0.000 0.000 0.000
H 0.118 0.476 0.607
H 0.476 0.118 0.607
H 0.504 0.915 0.999
H 0.507 0.507 0.362
H 0.900 0.900 0.427
H 0.915 0.504 0.999
Rh 0.248 0.745 0.499
Rh 0.510 0.510 0.998
Rh 0.745 0.248 0.499

Properties
electronic total energy: -50.109 eV per formula unit
size of the total moment: 0.00 μB per formula unit



(5)
The following is a PBE-GGA calculation of a relaxed structure of PmErGe2, from Alexandria.

Unit cell a=3.381 b=3.381 c=8.100 alpha=90.00 beta=90.00 gamma=90.00
Sites, in units of the cell vectors:
Pm 0.000 0.000 0.000
Er 0.000 0.000 0.500
Ge 0.500 0.500 0.259
Ge 0.500 0.500 0.741

Properties
ΔH_f (0 K): -0.63 eV/atom
electronic total energy: -21.061 eV per formula unit
size of the total moment: 0.00 μB per formula unit



(6)
The following is a PBE-GGA calculation of a relaxed structure of Eu2SnAu, from Alexandria.

Unit cell a=3.923 b=3.923 c=31.556 alpha=90.00 beta=90.00 gamma=120.00
Sites, in units of the cell vectors:
Eu 0.000 0.000 0.103
Eu 0.000 0.000 0.897
Eu 0.333 0.667 0.564
Eu 0.333 0.667 0.769
Eu 0.667 0.333 0.231
Eu 0.667 0.333 0.436
Sn 0.000 0.000 0.000
Sn 0.333 0.667 0.667
Sn 0.667 0.333 0.333
Au 0.000 0.000 0.500
Au 0.333 0.667 0.167
Au 0.667 0.333 0.833

Properties
ΔH_f (0 K): -0.23 eV/atom
electronic total energy: -28.762 eV per formula unit
size of the total moment: 14.65 μB per formula unit



Please write out number 1 again, unchanged.
The following is a PBE-GGA calculation of a relaxed structure of Ta2CoW, from Alexandria.

Unit cell a=6.325 b=6.325 c=6.325 alpha=90.00 beta=90.00 gamma=90.00
Sites, in units of the cell vectors:
Ta 0.250 0.250 0.250
Ta 0.250 0.250 0.750
Ta 0.250 0.750 0.250
Ta 0.250 0.750 0.750
Ta 0.750 0.250 0.250
Ta 0.750 0.250 0.750
Ta 0.750 0.750 0.250
Ta 0.750 0.750 0.750
Co 0.000 0.000 0.000
Co 0.000 0.500 0.500
Co 0.500 0.000 0.500
Co 0.500 0.500 0.000
W 0.000 0.000 0.500
W 0.000 0.500 0.000
W 0.500 0.000 0.000
W 0.500 0.500 0.500

Properties
ΔE to the lowest computed polymorph: 2.0 kJ per mole of atoms
ΔH_f (0 K): -0.07 eV/atom
electronic total energy: -44.031 eV per formula unit
size of the total moment: 0.00 μB per formula unit